1.
ThGeO4: relaxed, GGA-PBE.

Output
DOS(E_F) (states/eV per cell): 0.00
Mass density (g/cm³): 7.2
Raw formation energy (eV per formula unit): -16.06
Space-group type: C2/c, No. 15

Cell and atoms, written as POSCAR:
```
ThGeO4
1.0
-4.1520 3.2143 -2.9665
-5.2696 -1.9628 2.1793
-2.8579 3.7701 3.1722
Ge O Th
2 8 2
Cartesian
-6.4868 5.1551 0.2941
-5.7927 -0.1335 2.0910
-10.1750 3.9901 2.3388
-4.4644 1.8148 -1.3693
-3.6461 2.3944 2.1514
-2.1044 1.0315 0.0463
-7.8150 3.2069 3.7544
-8.6334 2.6272 0.2337
-5.9167 3.4962 0.0070
-6.3628 1.5254 2.3781
-3.5049 3.4922 0.1029
-2.6348 -0.9814 1.0897
```


2.
K2LaGeTe4: relaxed, GGA-PBE.

Output
DOS(E_F) (states/eV per cell): 13.80
Mass density (g/cm³): 4.6
Raw formation energy (eV per formula unit): -6.94
Space-group type: Imma, No. 74

Cell and atoms, written as POSCAR:
```
K2LaGeTe4
1.0
9.3984 -0.0535 -0.3735
-0.0601 9.3984 -0.3735
-4.8420 -4.8454 6.9858
Ge K Te La
2 4 8 2
Cartesian
4.5564 -4.8988 6.6123
2.2481 2.2498 3.1195
2.2782 -2.4494 3.3062
-2.4210 -2.4227 3.4929
4.6992 -0.0267 -0.1867
4.6692 4.6724 -0.3735
2.4428 2.2897 6.1297
-2.7853 2.2923 6.5110
7.2817 2.2072 -0.2721
2.0535 2.2098 0.1092
4.4565 4.3048 3.2286
4.5103 0.1346 3.2208
0.0398 0.1947 3.0103
-0.0140 4.3648 3.0181
6.9474 2.2230 2.9327
-0.0300 4.6992 -0.1867
```


3.
La3ThAg4: relaxed, GGA-PBE.

Output
DFT formation energy (meV/atom): -190
DOS(E_F) (states/eV per cell): 7.92
Mass density (g/cm³): 8.2
Space-group type: Pmmm, No. 47

Cell and atoms, written as POSCAR:
```
La3ThAg4
1.0
-0.7206 3.4897 1.0993
-4.2211 0.2021 -3.4085
-6.4951 -3.8041 7.8180
La Ag Th
3 4 1
Cartesian
-1.9747 0.7994 2.4928
-5.7184 -0.0561 2.7544
-5.2411 -1.1137 6.4245
-7.0122 -2.7698 4.1957
-3.7041 -0.8322 0.2138
0.0000 0.0000 0.0000
-3.2476 -1.9020 3.9090
-2.4709 1.8459 -1.1546
```


4.
MnPtSeN2: relaxed, GGA-PBE.

Output
DOS(E_F) (states/eV per cell): 3.93
Mass density (g/cm³): 8.3
Raw formation energy (eV per formula unit): 3.55
Space-group type: P4/mmm, No. 123

Cell and atoms, written as POSCAR:
```
MnPtSeN2
1.0
-0.6636 3.0741 -1.6949
-2.1050 1.0320 2.6958
4.3869 2.3415 2.5291
Se N Pt Mn
1 2 1 1
Cartesian
2.1934 1.1707 1.2646
-1.0525 0.5160 1.3479
-0.3318 1.5370 -0.8475
0.8092 3.2237 1.7650
0.0000 0.0000 0.0000
```


5.
TbSm3Tm2As6: relaxed, GGA-PBE.

Output
DFT formation energy (meV/atom): -1518
DOS(E_F) (states/eV per cell): 1.86
Mass density (g/cm³): 7.6
Space-group type: C2/m, No. 12

Cell and atoms, written as POSCAR:
```
TbSm3Tm2As6
1.0
-0.8342 -0.4323 -7.1315
5.5036 -3.3612 3.1865
-5.3883 -4.2713 2.0973
Tb Sm As Tm
1 3 6 2
Cartesian
0.0000 0.0000 0.0000
-0.3595 -4.0324 -0.9238
1.7574 -5.0107 2.5225
-2.4764 -3.0541 -4.3701
2.1743 -3.8571 -2.4304
0.4896 -6.5782 0.3585
-2.8933 -4.2077 0.5828
-1.2086 -1.4866 -2.2062
-1.6394 -5.5943 -3.1076
0.9204 -2.4705 1.2599
1.2771 -1.4080 -3.6943
3.3923 -2.3855 -0.2507
```


6.
KLiTl2: relaxed, GGA-PBE.

Output
DFT formation energy (meV/atom): -120
DOS(E_F) (states/eV per cell): 4.19
Mass density (g/cm³): 6.1
Space-group type: Cmcm, No. 63

Cell and atoms, written as POSCAR:
```
KLiTl2
1.0
-3.8661 -2.6898 1.0231
0.8510 0.6483 -6.4317
4.7960 -6.9173 -0.0627
Tl Li K
4 2 2
Cartesian
-0.1885 -4.6189 -1.5037
-2.0062 -1.9973 -1.4799
3.7871 -6.9615 -3.9913
1.9694 -4.3399 -3.9675
0.6921 -2.0557 -2.7892
1.0888 -6.9031 -2.6820
-1.7238 -3.7114 -4.9192
3.5047 -5.2474 -0.5520
```


7.
La3Pm: relaxed, GGA-PBE.

Output
DFT formation energy (meV/atom): 5
DOS(E_F) (states/eV per cell): 6.26
Mass density (g/cm³): 6.5
Space-group type: Pm-3m, No. 221

Cell and atoms, written as POSCAR:
```
La3Pm
1.0
5.2348 0.0000 0.0000
0.0000 5.2348 0.0000
0.0000 0.0000 5.2348
La Pm
3 1
Cartesian
2.6174 2.6174 0.0000
2.6174 0.0000 2.6174
0.0000 2.6174 2.6174
0.0000 0.0000 0.0000
```


8.
Ba8Al: relaxed, GGA-PBE.

Output
DFT formation energy (meV/atom): 32
DOS(E_F) (states/eV per cell): 10.94
Mass density (g/cm³): 3.7
Space-group type: I4/mmm, No. 139

Cell and atoms, written as POSCAR:
```
Ba8Al
1.0
-7.8167 -0.7822 -7.2433
9.9746 -1.1831 3.6449
-3.5438 -8.4616 5.4790
Ba Al
8 1
Cartesian
-1.7786 -6.8149 2.6554
3.5555 -1.0384 -0.2835
4.2801 -6.4191 6.0726
-7.5611 -6.1524 -1.1742
-1.3976 -0.9268 -3.3148
2.1507 -3.2255 3.0514
-3.7993 -3.0915 -0.5900
0.3927 -3.6119 -0.7747
0.0000 0.0000 0.0000
```


9.
Ho8Te3AsPt3: relaxed, GGA-PBE.

Output
DOS(E_F) (states/eV per cell): 8.63
Mass density (g/cm³): 9.3
Raw formation energy (eV per formula unit): -17.54
Space-group type: C2/m, No. 12

Cell and atoms, written as POSCAR:
```
Ho8Te3AsPt3
1.0
8.2464 0.0000 0.0000
-4.1232 7.1599 -0.0325
0.0000 -4.7553 7.1640
Te Ho Pt As
3 8 3 1
Cartesian
0.0000 0.0000 0.0000
-2.0616 3.5799 -0.0163
2.0616 3.5799 -0.0163
4.1232 0.0134 5.0774
2.0021 3.5580 5.1019
6.1253 -1.1534 2.0296
0.0000 2.3912 2.0541
2.1211 -1.1534 2.0296
-2.0021 3.5580 5.1019
4.1232 2.3233 2.0137
0.0000 0.0813 5.1178
-2.0616 1.2023 3.5658
4.1232 -2.3777 3.5820
2.0616 1.2023 3.5658
0.0000 -2.3777 3.5820
```


10.
Ac12Ni5Pd: relaxed, GGA-PBE.

Output
DFT formation energy (meV/atom): -206
DOS(E_F) (states/eV per cell): 17.57
Mass density (g/cm³): 7.9
Space-group type: C2/m, No. 12

Cell and atoms, written as POSCAR:
```
Ac12Ni5Pd
1.0
-2.1527 -2.3063 -6.7394
-4.3397 -6.0166 -0.6630
-10.3512 8.6531 3.0677
Pd Ni Ac
1 5 12
Cartesian
0.0000 0.0000 0.0000
-4.3278 -5.5480 -4.9356
-8.4283 -0.0701 -0.0309
-6.2519 3.1734 -1.8359
-8.4154 0.4001 -4.3039
-2.1646 -2.7750 -2.4671
-5.6845 1.4880 -4.1799
-4.2110 -2.9848 -0.3326
-8.9816 2.0829 -1.9599
-6.8194 4.8586 0.5082
-5.6978 1.0217 0.0925
-7.8620 -1.7528 -2.3749
-4.2613 -2.6089 -4.5533
-11.1458 -0.6916 -4.4273
-6.4357 -5.8380 -2.8692
-10.4079 6.1681 -1.4655
-12.5823 2.9391 0.2185
-12.6325 3.3150 -4.0022
```


11.
Sr3Al3Pd2: relaxed, GGA-PBE.

Output
DFT formation energy (meV/atom): -487
DOS(E_F) (states/eV per cell): 22.92
Mass density (g/cm³): 4.5
Space-group type: Pnma, No. 62

Cell and atoms, written as POSCAR:
```
Sr3Al3Pd2
1.0
6.2386 0.0000 0.0000
0.0000 8.3355 0.0000
0.0000 0.0000 15.8795
Sr Pd Al
12 8 12
Cartesian
0.6750 1.5502 11.9096
2.4095 8.0329 1.7219
5.5637 6.7853 3.9699
5.5288 4.4704 9.6616
0.7099 3.8652 6.2179
3.8292 0.3026 9.6616
2.4095 8.0329 6.2179
3.8292 0.3026 14.1576
2.4444 5.7179 11.9096
0.7099 3.8652 1.7219
5.5288 4.4704 14.1576
3.7943 2.6176 3.9699
5.4765 1.0490 1.5456
5.4765 1.0490 6.3942
3.8814 5.2167 1.5456
0.7621 7.2865 14.3339
0.7621 7.2865 9.4853
2.3572 3.1188 9.4853
2.3572 3.1188 14.3339
3.8814 5.2167 6.3942
3.7773 2.8075 0.5867
5.7294 6.9806 11.9096
5.5807 6.9752 0.5867
2.6101 5.5227 3.9699
2.4614 5.5281 15.2928
0.6580 1.3603 8.5264
5.5807 6.9752 7.3531
3.7773 2.8075 7.3531
0.6580 1.3603 15.2928
2.4614 5.5281 8.5264
3.6285 2.8129 11.9096
0.5092 1.3549 3.9699
```


12.
Ce8Te2C3: relaxed, GGA-PBE.

Output
DOS(E_F) (states/eV per cell): 30.65
Mass density (g/cm³): 6.8
Raw formation energy (eV per formula unit): -5.46
Space-group type: C2/m, No. 12

Cell and atoms, written as POSCAR:
```
Ce8Te2C3
1.0
6.3697 0.0000 0.3330
0.0000 7.0094 0.0000
-2.2400 -3.5047 7.6116
Ce Te C
8 2 3
Cartesian
-1.3802 0.0000 6.1698
-1.0933 3.5047 6.2346
2.0746 1.7076 6.4767
5.2231 0.0000 1.7100
2.0552 5.2123 1.4679
2.0552 1.7971 1.4679
5.5099 3.5047 1.7748
2.0746 -1.7076 6.4767
3.2606 3.5047 4.0485
0.8692 0.0000 3.8961
0.0000 1.6921 0.0000
3.1849 0.0000 0.1665
0.0000 5.3173 0.0000
```


13.
BaSrIn2: relaxed, GGA-PBE.

Output
DFT formation energy (meV/atom): -404
DOS(E_F) (states/eV per cell): 1.82
Mass density (g/cm³): 5.2
Space-group type: Pmm2, No. 25

Cell and atoms, written as POSCAR:
```
BaSrIn2
1.0
-5.5162 0.8698 -1.0170
0.3305 -2.0865 -3.5775
-1.3553 -5.1961 2.9070
In Ba Sr
2 1 1
Cartesian
-1.2450 -5.1923 2.3121
-3.1358 -1.4325 -0.0570
-3.6789 -5.1912 -0.3258
-0.3488 -3.4341 -1.0451
```


14.
BaSrTl3: relaxed, GGA-PBE.

Output
DFT formation energy (meV/atom): -319
DOS(E_F) (states/eV per cell): 5.93
Mass density (g/cm³): 7.5
Space-group type: P2_1/m, No. 11

Cell and atoms, written as POSCAR:
```
BaSrTl3
1.0
-3.9985 0.0126 -5.3116
4.7578 -5.0196 -1.7098
-4.6211 -5.5605 3.4655
Tl Sr Ba
6 2 2
Cartesian
-3.8106 -2.7027 -4.7805
-0.3629 -5.5719 -1.2228
-3.4989 -4.9956 -2.3332
1.4129 -3.4352 -2.5545
-5.2747 -7.1324 -1.0015
-0.0512 -7.8649 1.2245
-2.3036 -1.9811 -1.6130
-1.5582 -8.5865 -1.9430
-2.8358 -5.4377 1.4058
-1.0260 -5.1298 -4.9617
```


15.
GdLuO2: relaxed, GGA-PBE.

Output
DOS(E_F) (states/eV per cell): 1.70
Mass density (g/cm³): 8.7
Raw formation energy (eV per formula unit): -11.67
Space-group type: R-3m, No. 166

Cell and atoms, written as POSCAR:
```
GdLuO2
1.0
3.5133 0.0000 0.0000
1.7567 3.0426 0.0000
1.7567 1.0142 6.5398
O Lu Gd
2 1 1
Cartesian
1.7567 1.0142 4.2941
5.2700 3.0426 2.2457
3.5133 2.0284 3.2699
0.0000 0.0000 0.0000
```


16.
Zr2TlPt: relaxed, GGA-PBE.

Output
DFT formation energy (meV/atom): -338
DOS(E_F) (states/eV per cell): 3.13
Mass density (g/cm³): 10.3
Space-group type: C2/m, No. 12

Cell and atoms, written as POSCAR:
```
Zr2TlPt
1.0
-0.2267 1.2317 3.4035
1.4154 -1.9190 2.7326
7.5842 3.7199 1.0936
Tl Pt Zr
1 1 2
Cartesian
6.5796 2.2745 5.4223
2.1932 0.7582 1.8074
4.0817 1.3497 3.6515
1.4933 -0.5206 6.0994
```


17.
TbTh2Sc9: relaxed, GGA-PBE.

Output
DFT formation energy (meV/atom): 37
DOS(E_F) (states/eV per cell): 22.29
Mass density (g/cm³): 5.4
Space-group type: P4/mmm, No. 123

Cell and atoms, written as POSCAR:
```
TbTh2Sc9
1.0
-2.8933 1.3980 3.4454
-0.3999 -4.4573 1.4728
11.1569 1.8471 8.6197
Sc Th Tb
9 2 1
Cartesian
7.8345 2.2356 8.8931
5.3785 -1.3051 5.0462
4.1318 1.6226 6.0325
1.6759 -1.9181 2.1856
9.0812 -0.6921 7.9069
-1.6466 -1.5296 2.4591
5.7940 -0.2978 8.2076
0.4292 1.0096 3.1719
2.0697 -0.9143 5.3303
7.4341 1.2308 5.7435
3.7228 0.6163 2.8762
0.0000 0.0000 0.0000
```


18.
ScBeVRe: relaxed, GGA-PBE.

Output
DFT formation energy (meV/atom): -25
DOS(E_F) (states/eV per cell): 3.37
Mass density (g/cm³): 8.3
Space-group type: F-43m, No. 216

Cell and atoms, written as POSCAR:
```
ScBeVRe
1.0
4.3550 0.0000 0.0000
2.1775 3.7716 0.0000
2.1775 1.2572 3.5559
Be Sc V Re
1 1 1 1
Cartesian
2.1775 1.2572 0.8890
0.0000 0.0000 0.0000
4.3550 2.5144 1.7779
6.5326 3.7716 2.6669
```


19.
CaZr3Os: relaxed, GGA-PBE.

Output
DFT formation energy (meV/atom): 2046
DOS(E_F) (states/eV per cell): 6.83
Mass density (g/cm³): 7.5
Space-group type: Pm-3m, No. 221

Cell and atoms, written as POSCAR:
```
CaZr3Os
1.0
4.8170 0.0000 0.0000
0.0000 4.8170 0.0000
0.0000 0.0000 4.8170
Zr Ca Os
3 1 1
Cartesian
0.0000 2.4085 0.0000
2.4085 0.0000 0.0000
0.0000 0.0000 2.4085
0.0000 0.0000 0.0000
2.4085 2.4085 2.4085
```


20.
NaSnHgI3: relaxed, GGA-PBE.

Output
DOS(E_F) (states/eV per cell): 0.00
Mass density (g/cm³): 4.9
Raw formation energy (eV per formula unit): -3.71
Space-group type: C2/m, No. 12

Cell and atoms, written as POSCAR:
```
NaSnHgI3
1.0
4.5624 0.0000 0.0000
-2.2812 11.0824 1.6950
0.0000 -1.5661 9.5444
Hg Na I Sn
2 2 6 2
Cartesian
2.2812 2.5774 1.9623
0.0000 6.9390 9.2770
2.2812 3.1036 6.5322
0.0000 6.4128 4.7071
2.2812 6.4183 2.4319
0.0000 3.1475 4.3209
0.0000 3.0981 8.8075
2.2812 6.3688 6.9185
0.0000 9.7985 3.8035
2.2812 -0.2822 7.4359
0.0000 0.3037 9.5074
2.2812 9.2127 1.7320
```


21.
SiHgMo2: relaxed, GGA-PBE.

Output
DOS(E_F) (states/eV per cell): 3.26
Mass density (g/cm³): 10.5
Raw formation energy (eV per formula unit): 1.61
Space-group type: C2/m, No. 12

Cell and atoms, written as POSCAR:
```
SiHgMo2
1.0
4.8130 -0.0063 0.0117
3.9994 2.6776 0.0117
1.2426 0.3767 5.1767
Hg Mo Si
1 2 1
Cartesian
2.5138 0.7620 1.3000
1.3640 0.4135 5.0544
4.9062 1.4873 2.7223
7.5413 2.2860 3.9001
```


22.
Li2CoAg: relaxed, GGA-PBE.

Output
DFT formation energy (meV/atom): 157
DOS(E_F) (states/eV per cell): 3.95
Mass density (g/cm³): 5.2
Space-group type: Pm, No. 6

Cell and atoms, written as POSCAR:
```
Li2CoAg
1.0
-3.3810 -2.9527 -0.6475
1.4979 -1.3246 -1.7811
1.7217 -2.7314 3.4662
Ag Li Co
1 2 1
Cartesian
1.5066 -1.9943 1.2277
1.3673 -1.2476 -1.4499
-0.7620 -2.5571 -0.2436
0.8343 -4.5623 0.5650
```


23.
Tb4SnTe2Se: relaxed, GGA-PBE.

Output
DOS(E_F) (states/eV per cell): 3.26
Mass density (g/cm³): 7.9
Raw formation energy (eV per formula unit): -10.58
Space-group type: P2/m, No. 10

Cell and atoms, written as POSCAR:
```
Tb4SnTe2Se
1.0
-2.8243 -0.9480 -3.1275
5.2897 -4.0958 -3.5354
-0.3024 -7.0328 2.4047
Tb Te Sn Se
4 2 1 1
Cartesian
-0.2303 -6.8304 -0.7044
3.6125 -8.3377 -0.7352
2.3933 -5.2462 -3.5538
-1.4495 -3.7389 -3.5230
-1.5634 -3.9904 -0.3614
-0.3024 -7.0328 2.4047
2.4936 -5.5643 -0.5653
1.2327 -2.5219 -3.3315
```